## Pm2InGe4Pt3 (GGA-PBE)

Data for a geometry-optimized Pm2InGe4Pt3 structure.

## Properties
DFT formation energy: -0.7931 eV/atom
Symmetry: P-4m2
Electronic total energy: -5.68 eV per atom

a b c (Å): 4.313 4.313 10.787
angles (deg): 90.00 90.00 90.00
Positions (direct):
Pm  0.000  0.500  0.241
Pm  0.500  0.000  0.759
In  0.000  0.000  0.500
Ge  0.000  0.000  0.000
Ge  0.000  0.500  0.651
Ge  0.500  0.000  0.349
Ge  0.500  0.500  0.000
Pt  0.000  0.500  0.877
Pt  0.500  0.000  0.123
Pt  0.500  0.500  0.500